# BaP2SCl

A geometry-optimized BaP2SCl structure (GGA-PBE, Alexandria).

Values from the calculation:
Energy relative to the elements, uncorrected   -1.99 eV per formula unit
Size of the total moment   0.0 μB/cell
Energy above the lowest structure with this stoichiometry   0.0000 eV per atom

Cell lengths 4.5199, 4.5199, 6.3713 Å; angles 90.00, 90.00, 90.00 degrees
Atoms (fractional coordinates):
Ba  0.0000  0.0000  0.0000
P  0.0000  0.5000  0.5000
P  0.5000  0.0000  0.5000
S  0.5000  0.5000  0.5000
Cl  0.5000  0.5000  0.0000